Here is YUC after structural relaxation from the Alexandria database. Energies are from PBE.

a b c (Å): 6.9752 6.9752 6.9752
angles (deg): 153.16 153.16 38.33
With the nearest neighbours (Å) after each atom.
Positions (direct):
Y  0.0000  0.0000  0.0000  1 C 2.35
U  0.7192  0.7192  0.0000  4 C 2.35
C  0.1787  0.1787  0.0000  4 U 2.35, 1 Y 2.35

Results
Excess energy over the best structure of this formula in the dataset = 302 meV/atom
Calculated total energy = -26.08 eV per formula unit
Magnetic moment = 1.766 μB per cell
Energy relative to the elements = 298 meV per atom